No. 1
Mn2ZnSbAs | meta-GGA SCAN | single point on PBEsol structure

POSCAR file:
```
Mn2ZnSbAs
1.0
4.669 0.000 0.000
0.000 4.669 0.000
0.000 0.000 4.623
Sb As Mn Zn
1 1 2 1
Cartesian
2.334 2.334 2.312 Sb
0.000 0.000 0.000 As
0.000 2.334 0.000 Mn
2.334 0.000 0.000 Mn
0.000 0.000 2.312 Zn
```

Computed properties:
V ... 20.2 A^3/atom
Crystal system ... tetragonal
Symmetry ... P4/mmm (123)
Uncorrected formation energy ... 1.01 eV/f.u.
Total magnetic moment ... 8.68 μB/f.u.

No. 2
ScMnAs2 | meta-GGA SCAN | single point on PBEsol structure

POSCAR file:
```
ScMnAs2
1.0
-2.463 2.056 3.026
-4.209 0.980 -0.879
-3.245 -2.174 2.049
As Mn Sc
2 1 1
Cartesian
-2.479 0.216 1.049 As
-7.438 0.647 3.148 As
0.000 0.000 0.000 Mn
-4.959 0.431 2.099 Sc
```

Computed properties:
V ... 15.2 A^3/atom
Crystal system ... cubic
Polymorph energy (0 for the lowest one) ... 0.786 eV per formula unit
Symmetry ... Fm-3m (225)
Total magnetic moment ... 3.52 μB/f.u.

No. 3
ScMnAs2 | meta-GGA SCAN | single point on PBEsol structure

POSCAR file:
```
ScMnAs2
1.0
-1.091 2.380 -1.668
1.656 -1.319 -2.965
-4.585 -3.887 -0.832
As Mn Sc
2 1 1
Cartesian
-4.205 -1.341 -1.752 As
-1.471 -0.165 -0.748 As
0.283 0.531 -2.317 Mn
-1.465 -2.603 -1.898 Sc
```

Computed properties:
V ... 17.0 A^3/atom
Crystal system ... monoclinic
Polymorph energy (0 for the lowest one) ... 0.000 eV per formula unit
Symmetry ... P2/m (10)
Total magnetic moment ... 3.63 μB/f.u.

No. 4
ScMn3As | meta-GGA SCAN | single point on PBEsol structure

POSCAR file:
```
ScMn3As
1.0
4.535 0.000 0.000
0.000 4.535 0.000
0.000 0.000 4.535
Sc As Mn
1 1 3
Cartesian
0.000 0.000 0.000 Sc
2.268 2.268 2.268 As
0.000 2.268 0.000 Mn
0.000 0.000 2.268 Mn
2.268 0.000 0.000 Mn
```

Computed properties:
V ... 18.7 A^3/atom
Crystal system ... cubic
Symmetry ... Pm-3m (221)
Total energy ... -16.67 eV per atom
Total magnetic moment ... 10.30 μB/f.u.

No. 5
ScMn2As | meta-GGA SCAN | single point on PBEsol structure

POSCAR file:
```
ScMn2As
1.0
3.777 0.000 0.000
0.000 3.778 0.000
-1.888 -1.889 4.023
As Mn Sc
1 2 1
Cartesian
1.888 1.889 2.011 As
1.888 0.000 4.023 Mn
0.000 0.000 2.012 Mn
1.888 0.000 0.000 Sc
```

Computed properties:
V ... 14.4 A^3/atom
Crystal system ... tetragonal
Symmetry ... I-4m2 (119)
Total energy ... -18.09 eV per atom
Total magnetic moment ... 5.89 μB/f.u.

No. 6
ScMnAs | meta-GGA SCAN | single point on PBEsol structure

POSCAR file:
```
ScMnAs
1.0
4.185 0.000 0.000
2.093 3.625 0.000
2.093 1.208 3.417
As Mn Sc
1 1 1
Cartesian
4.185 2.416 1.709 As
2.093 1.208 0.854 Mn
0.000 0.000 0.000 Sc
```

Computed properties:
V ... 17.3 A^3/atom
Crystal system ... cubic
Symmetry ... F-43m (216)
Total energy ... -17.95 eV per atom
Total magnetic moment ... 3.00 μB/f.u.

No. 7
ScMn2As | meta-GGA SCAN | single point on PBEsol structure

POSCAR file:
```
ScMn2As
1.0
-0.856 0.137 -2.947
-2.661 -1.253 -0.887
-4.722 6.222 0.058
As Mn Sc
1 2 1
Cartesian
-1.947 1.066 -0.987 As
-4.686 6.156 0.045 Mn
-6.292 4.040 -2.789 Mn
-4.155 2.618 -1.875 Sc
```

Computed properties:
V ... 15.5 A^3/atom
Crystal system ... trigonal
Symmetry ... R3m (160)
Total energy ... -17.83 eV per atom
Total magnetic moment ... 0.61 μB/f.u.

No. 8
MnAsSe | meta-GGA SCAN | single point on PBEsol structure

POSCAR file:
```
MnAsSe
1.0
-3.059 -2.074 2.386
-2.205 -3.394 -1.722
0.747 -4.080 1.466
As Mn Se
1 1 1
Cartesian
0.000 0.000 0.000 As
-2.258 -4.774 1.065 Mn
-1.129 -2.387 0.533 Se
```

Computed properties:
V ... 20.1 A^3/atom
Crystal system ... cubic
Symmetry ... F-43m (216)
Uncorrected formation energy ... 0.80 eV/f.u.
Total magnetic moment ... 4.01 μB/f.u.

No. 9
MnAs2Se | meta-GGA SCAN | single point on PBEsol structure

POSCAR file:
```
MnAs2Se
1.0
-1.732 -4.102 -1.170
2.566 -3.796 0.451
-1.010 -3.088 3.263
As Mn Se
2 1 1
Cartesian
0.000 0.000 0.000 As
-0.132 -8.239 1.908 As
-0.088 -5.493 1.272 Mn
-0.044 -2.746 0.636 Se
```

Computed properties:
V ... 17.3 A^3/atom
Crystal system ... cubic
Symmetry ... F-43m (216)
Uncorrected formation energy ... 0.96 eV/f.u.
Total magnetic moment ... 3.90 μB/f.u.

No. 10
MnAsSe4 | meta-GGA SCAN | single point on PBEsol structure

POSCAR file:
```
MnAsSe4
1.0
-4.661 2.959 0.714
-2.518 0.072 4.964
0.086 4.624 3.098
As Mn Se
1 1 4
Cartesian
-5.320 5.741 6.581 As
0.000 0.000 0.000 Mn
-2.661 2.872 3.292 Se
-2.618 5.181 4.839 Se
-4.989 4.349 3.648 Se
-3.919 2.907 5.771 Se
```

Computed properties:
V ... 20.3 A^3/atom
Crystal system ... cubic
Symmetry ... F-43m (216)
Uncorrected formation energy ... 4.45 eV/f.u.
Total magnetic moment ... 4.34 μB/f.u.

No. 11
MnAsSe | meta-GGA SCAN | single point on PBEsol structure

POSCAR file:
```
MnAsSe
1.0
-1.942 -1.843 -0.939
1.350 -2.105 1.341
-3.148 3.009 4.893
As Mn Se
1 1 1
Cartesian
-0.298 0.089 0.441 As
-1.486 -1.617 1.961 Mn
-1.957 0.588 2.893 Se
```

Computed properties:
V ... 16.7 A^3/atom
Crystal system ... tetragonal
Symmetry ... I4mm (107)
Uncorrected formation energy ... 0.03 eV/f.u.
Total magnetic moment ... 0.00 μB/f.u.

No. 12
MnAs2Se | meta-GGA SCAN | single point on PBEsol structure

POSCAR file:
```
MnAs2Se
1.0
-1.351 0.957 2.641
-0.375 -1.991 2.368
6.822 1.827 4.668
As Mn Se
2 1 1
Cartesian
6.514 1.736 4.543 As
3.534 0.510 7.141 As
2.583 0.407 4.853 Mn
1.834 0.362 2.646 Se
```

Computed properties:
V ... 17.4 A^3/atom
Crystal system ... trigonal
Symmetry ... R3m (160)
Uncorrected formation energy ... -0.02 eV/f.u.
Total magnetic moment ... 2.18 μB/f.u.